Record 1
Nd2InAg: single point on PBEsol structure, SCAN.

M_tot: 0.1031 μB per atom
Electronic total energy: -615.47 eV/cell

a = 7.519 Å, b = 7.519 Å, c = 7.519 Å
α = 90.00°, β = 90.00°, γ = 90.00°
Space group Fm-3m (No. 225)
One atom of each set of equivalent atoms:
Nd 0.250 0.250 0.250 [8 per cell]
In 0.000 0.000 0.000 [4 per cell]
Ag 0.000 0.000 0.500 [4 per cell]

=====

Record 2
InNiAg2: single point on PBEsol structure, SCAN.

M_tot: 0.0000 μB per atom
Electronic total energy: -223.86 eV/cell

a = 4.094 Å, b = 4.094 Å, c = 7.581 Å
α = 90.00°, β = 90.00°, γ = 90.00°
Space group I-4m2 (No. 119)
One atom of each set of equivalent atoms:
In 0.000 0.000 0.000 [2 per cell]
Ni 0.000 0.500 0.250 [2 per cell]
Ag 0.000 0.000 0.500 [2 per cell]
Ag 0.000 0.500 0.750 [2 per cell]

=====

Record 3
InNi2Ag: single point on PBEsol structure, SCAN.

M_tot: 0.0000 μB per atom
Electronic total energy: -96.65 eV/cell

a = 2.951 Å, b = 3.369 Å, c = 5.664 Å
α = 90.00°, β = 90.00°, γ = 90.00°
Space group Pmmm (No. 47)
One atom of each set of equivalent atoms:
In 0.000 0.000 0.000 [1 per cell]
Ni 0.500 0.500 0.250 [2 per cell]
Ag 0.000 0.000 0.500 [1 per cell]

=====

Record 4
InNiAg2: single point on PBEsol structure, SCAN.

M_tot: 0.2555 μB per atom
Electronic total energy: -333.64 eV/cell

a = 2.9236 Å, b = 2.9236 Å, c = 26.9452 Å
α = 90.00°, β = 90.00°, γ = 120.00°
Space group R-3m (No. 166, hexagonal axes)
One atom of each set of equivalent atoms:
In 0.0000 0.0000 0.0000 [3 per cell]
Ni 0.0000 0.0000 0.5000 [3 per cell]
Ag 0.0000 0.0000 0.2416 [6 per cell]

=====

Record 5
InNi2Ag: single point on PBEsol structure, SCAN.

M_tot: 0.2519 μB per atom
Electronic total energy: -96.51 eV/cell

a = 2.991 Å, b = 3.001 Å, c = 6.378 Å
α = 90.00°, β = 90.00°, γ = 90.00°
Space group Pmm2 (No. 25)
One atom of each set of equivalent atoms:
In 0.000 0.000 0.000 [1 per cell]
Ni 0.000 0.000 0.565 [1 per cell]
Ni 0.500 0.500 0.753 [1 per cell]
Ag 0.500 0.500 0.318 [1 per cell]

=====

Record 6
InNi2Ag: single point on PBEsol structure, SCAN.

M_tot: 0.0000 μB per atom
Electronic total energy: -193.64 eV/cell

a = 4.046 Å, b = 4.046 Å, c = 6.857 Å
α = 90.00°, β = 90.00°, γ = 90.00°
Space group I4/mmm (No. 139)
One atom of each set of equivalent atoms:
In 0.000 0.000 0.000 [2 per cell]
Ni 0.000 0.500 0.250 [4 per cell]
Ag 0.000 0.000 0.500 [2 per cell]

=====

Record 7
InNi2AgSn: single point on PBEsol structure, SCAN.

M_tot: 0.3535 μB per atom
Electronic total energy: -128.17 eV/cell

a = 4.682 Å, b = 4.682 Å, c = 4.893 Å
α = 90.00°, β = 90.00°, γ = 90.00°
Space group P4/mmm (No. 123)
One atom of each set of equivalent atoms:
In 0.000 0.000 0.000 [1 per cell]
Ni 0.000 0.500 0.500 [2 per cell]
Ag 0.000 0.000 0.500 [1 per cell]
Sn 0.500 0.500 0.000 [1 per cell]

=====

Record 8
InAgPO2: single point on PBEsol structure, SCAN.

M_tot: 0.0001 μB per atom
Electronic total energy: -86.16 eV/cell
Raw formation energy: 140 kJ/mol of formula units

a = 3.975 Å, b = 3.975 Å, c = 4.850 Å
α = 90.00°, β = 90.00°, γ = 90.00°
Space group P4/mmm (No. 123)
One atom of each set of equivalent atoms:
In 0.000 0.000 0.000 [1 per cell]
Ag 0.500 0.500 0.500 [1 per cell]
P 0.500 0.500 0.000 [1 per cell]
O 0.000 0.500 0.500 [2 per cell]

=====

Record 9
In2Ag3P3O12: single point on PBEsol structure, SCAN.

M_tot: 0.0000 μB per atom
Electronic total energy: -1216.65 eV/cell
Raw formation energy: -3601 kJ/mol of formula units

a = 12.564 Å, b = 12.876 Å, c = 6.631 Å
α = 90.00°, β = 113.83°, γ = 90.00°
Space group C2/c (No. 15)
One atom of each set of equivalent atoms:
In 0.225 0.156 0.151 [8 per cell]
Ag 0.000 0.000 0.250 [4 per cell]
Ag 0.000 0.284 0.250 [4 per cell]
Ag 0.000 0.500 0.000 [4 per cell]
P 0.000 0.274 0.750 [4 per cell]
P 0.238 0.102 0.636 [8 per cell]
O 0.050 0.203 0.958 [8 per cell]
O 0.092 0.347 0.725 [8 per cell]
O 0.138 0.427 0.330 [8 per cell]
O 0.164 0.002 0.626 [8 per cell]
O 0.174 0.163 0.418 [8 per cell]
O 0.237 0.172 0.828 [8 per cell]

=====

Record 10
InAgOs2: single point on PBEsol structure, SCAN.

M_tot: 0.0000 μB per atom
Electronic total energy: -822.18 eV/cell

a = 6.331 Å, b = 6.331 Å, c = 6.331 Å
α = 90.00°, β = 90.00°, γ = 90.00°
Space group F-43m (No. 216)
One atom of each set of equivalent atoms:
In 0.000 0.000 0.000 [4 per cell]
Ag 0.250 0.250 0.250 [4 per cell]
Os 0.000 0.000 0.500 [4 per cell]
Os 0.250 0.250 0.750 [4 per cell]

=====

Record 11
InAgOs2: single point on PBEsol structure, SCAN.

M_tot: 0.3205 μB per atom
Electronic total energy: -411.66 eV/cell

a = 2.827 Å, b = 4.834 Å, c = 9.618 Å
α = 90.00°, β = 90.00°, γ = 90.00°
Space group Cmm2 (No. 35)
One atom of each set of equivalent atoms:
In 0.000 0.000 0.000 [2 per cell]
Ag 0.000 0.500 0.735 [2 per cell]
Os 0.000 0.000 0.480 [2 per cell]
Os 0.000 0.500 0.259 [2 per cell]

=====

Record 12
InAgOs2: single point on PBEsol structure, SCAN.

M_tot: 0.0013 μB per atom
Electronic total energy: -411.24 eV/cell

a = 2.878 Å, b = 4.649 Å, c = 9.515 Å
α = 90.00°, β = 90.00°, γ = 90.00°
Space group Immm (No. 71)
One atom of each set of equivalent atoms:
In 0.000 0.000 0.000 [2 per cell]
Ag 0.000 0.000 0.500 [2 per cell]
Os 0.000 0.500 0.254 [4 per cell]

=====

Record 13
InAgOs2: single point on PBEsol structure, SCAN.

M_tot: 0.0000 μB per atom
Electronic total energy: -411.62 eV/cell

a = 2.822 Å, b = 4.737 Å, c = 9.915 Å
α = 90.00°, β = 90.00°, γ = 90.00°
Space group Imm2 (No. 44)
One atom of each set of equivalent atoms:
In 0.000 0.000 0.000 [2 per cell]
Ag 0.000 0.500 0.221 [2 per cell]
Os 0.000 0.000 0.457 [2 per cell]
Os 0.000 0.500 0.749 [2 per cell]

=====

Record 14
In2AgOs: single point on PBEsol structure, SCAN.

M_tot: 0.1362 μB per atom
Electronic total energy: -168.17 eV/cell

a = 3.111 Å, b = 4.128 Å, c = 5.640 Å
α = 90.00°, β = 90.00°, γ = 90.00°
Space group Pmm2 (No. 25)
One atom of each set of equivalent atoms:
In 0.000 0.000 0.000 [1 per cell]
In 0.500 0.500 0.322 [1 per cell]
Ag 0.500 0.500 0.793 [1 per cell]
Os 0.000 0.000 0.504 [1 per cell]

=====

Record 15
InReAgOs2: single point on PBEsol structure, SCAN.

M_tot: 0.8084 μB per atom
Electronic total energy: -263.87 eV/cell

a = 4.756 Å, b = 4.756 Å, c = 4.806 Å
α = 90.00°, β = 90.00°, γ = 90.00°
Space group P4/mmm (No. 123)
One atom of each set of equivalent atoms:
In 0.000 0.000 0.000 [1 per cell]
Re 0.000 0.000 0.500 [1 per cell]
Ag 0.500 0.500 0.500 [1 per cell]
Os 0.000 0.500 0.000 [2 per cell]

=====

Record 16
In3AgP: single point on PBEsol structure, SCAN.

M_tot: 0.0000 μB per atom
Electronic total energy: -139.30 eV/cell

a = 5.101 Å, b = 5.101 Å, c = 5.101 Å
α = 90.00°, β = 90.00°, γ = 90.00°
Space group Pm-3m (No. 221)
One atom of each set of equivalent atoms:
In 0.000 0.000 0.500 [3 per cell]
Ag 0.500 0.500 0.500 [1 per cell]
P 0.000 0.000 0.000 [1 per cell]

=====

Record 17
InAgPb3: single point on PBEsol structure, SCAN.

M_tot: 0.0000 μB per atom
Electronic total energy: -290.23 eV/cell

a = 5.416 Å, b = 5.416 Å, c = 5.416 Å
α = 90.00°, β = 90.00°, γ = 90.00°
Space group Pm-3m (No. 221)
One atom of each set of equivalent atoms:
In 0.000 0.000 0.000 [1 per cell]
Ag 0.500 0.500 0.500 [1 per cell]
Pb 0.000 0.500 0.500 [3 per cell]

=====

Record 18
InAgPb2: single point on PBEsol structure, SCAN.

M_tot: 0.0000 μB per atom
Electronic total energy: -216.07 eV/cell

a = 3.411 Å, b = 3.411 Å, c = 8.513 Å
α = 90.00°, β = 90.00°, γ = 90.00°
Space group P4mm (No. 99)
One atom of each set of equivalent atoms:
In 0.000 0.000 0.000 [1 per cell]
Ag 0.500 0.500 0.802 [1 per cell]
Pb 0.000 0.000 0.573 [1 per cell]
Pb 0.500 0.500 0.272 [1 per cell]

=====

Record 19
In2AgPb: single point on PBEsol structure, SCAN.

M_tot: 0.0000 μB per atom
Electronic total energy: -173.22 eV/cell

a = 5.143 Å, b = 5.143 Å, c = 3.664 Å
α = 90.00°, β = 90.00°, γ = 90.00°
Space group P4/mmm (No. 123)
One atom of each set of equivalent atoms:
In 0.000 0.500 0.000 [2 per cell]
Ag 0.000 0.000 0.500 [1 per cell]
Pb 0.500 0.500 0.500 [1 per cell]

=====

Record 20
In2AgPb: single point on PBEsol structure, SCAN.

M_tot: 0.0000 μB per atom
Electronic total energy: -173.63 eV/cell

a = 3.314 Å, b = 3.314 Å, c = 8.673 Å
α = 90.00°, β = 90.00°, γ = 90.00°
Space group P4mm (No. 99)
One atom of each set of equivalent atoms:
In 0.000 0.000 0.000 [1 per cell]
In 0.500 0.500 0.263 [1 per cell]
Ag 0.500 0.500 0.796 [1 per cell]
Pb 0.000 0.000 0.564 [1 per cell]